[1]
Computed, not measured: a relaxed structure of Pr2Be2CdPd5 at the PBE-GGA level of DFT.

Results
For the calculated total energy, the calculation gives -100.31 eV per cell. The energy relative to the elements comes out at -0.626 eV per atom. For the total magnetic moment, the calculation gives 0.00 μB per formula unit. As for the space group: P4/mbm (127).

abc: 3.546 9.933 9.933
angles: 90.00 90.00 90.00
Sites, in units of the cell vectors:
Pr 0.000 0.320 0.820
Pd 0.500 0.276 0.568
Pd 0.500 0.000 0.500
Pd 0.500 0.724 0.432
Cd 0.000 0.500 0.500
Pd 0.500 0.776 0.932
Pd 0.500 0.932 0.224
Pd 0.500 0.500 0.000
Be 0.000 0.885 0.385
Pd 0.500 0.568 0.724
Pr 0.000 0.680 0.180
Be 0.000 0.115 0.615
Pr 0.000 0.820 0.680
Be 0.000 0.385 0.115
Pd 0.500 0.432 0.276
Cd 0.000 0.000 0.000
Pd 0.500 0.068 0.776
Be 0.000 0.615 0.885
Pr 0.000 0.180 0.320
Pd 0.500 0.224 0.068

***

[2]
Computed, not measured: a relaxed structure of Tb6Pr8Nd at the PBE-GGA level of DFT.

Results
As for the energy above the most stable polymorph in this dataset: 0.00 kcal/mol of atoms. For the calculated total energy, the calculation gives -68.95 eV per cell. The energy relative to the elements comes out at 0.122 eV per atom. For the total magnetic moment, the calculation gives 0.00 μB per formula unit. As for the space group: R-3 (148).

abc: 9.238 9.238 8.836
angles: 58.48 58.48 60.00
Sites, in units of the cell vectors:
Pr 0.113 0.716 0.420
Tb 0.537 0.249 0.117
Tb 0.751 0.904 0.883
Tb 0.904 0.463 0.883
Pr 0.578 0.578 0.266
Tb 0.096 0.537 0.117
Tb 0.249 0.096 0.117
Pr 0.249 0.887 0.580
Pr 0.422 0.422 0.734
Pr 0.751 0.113 0.420
Pr 0.284 0.249 0.580
Tb 0.463 0.751 0.883
Pr 0.887 0.284 0.580
Nd 0.000 0.000 0.000
Pr 0.716 0.751 0.420

***

> What is the formula in the second record?

Tb6Pr8Nd

***

> The lowest energy relative to the elements belongs to which entry?

Pr2Be2CdPd5

***

> What is the total magnetic moment in the second record?

0.00 μB per formula unit